Entry from Alexandria via LeMat-Bulk: an optimized crystal structure of ScV2MoO8 (GGA+U).

Cell lengths 6.752, 6.752, 6.320 Å; angles 90.00, 90.00, 90.00 degrees
Space group I-4m2 (No. 119)
One atom of each set of equivalent atoms:
1 Sc 0.000 0.000 0.000
2 V 0.000 0.000 0.500
3 V 0.000 0.500 0.250
4 Mo 0.000 0.500 0.750
5 O 0.000 0.199 0.687
6 O 0.000 0.314 0.049

## Properties
magnetization: 3.000 μB/f.u.
total energy: -184.37 eV/cell

Entry from Alexandria via LeMat-Bulk: an optimized crystal structure of ScMoW2O (GGA+U).

Cell lengths 5.087, 5.087, 4.957 Å; angles 90.00, 90.00, 90.00 degrees
Space group P4/mmm (No. 123)
One atom of each set of equivalent atoms:
1 Sc 0.000 0.000 0.000
2 Mo 0.000 0.000 0.500
3 W 0.000 0.500 0.000
4 O 0.500 0.500 0.500

## Properties
magnetization: 7.981 μB/f.u.
total energy: -18.64 eV/cell

Entry from Alexandria via LeMat-Bulk: an optimized crystal structure of YScMoO2 (GGA+U).

Cell lengths 4.086, 4.086, 5.268 Å; angles 90.00, 90.00, 90.00 degrees
Space group P4/mmm (No. 123)
One atom of each set of equivalent atoms:
1 Y 0.000 0.000 0.000
2 Sc 0.500 0.500 0.000
3 Mo 0.500 0.500 0.500
4 O 0.000 0.500 0.500

## Properties
magnetization: 0.002 μB/f.u.
energy relative to the lowest polymorph listed for this composition: 0 meV per atom

- Which formula does entry 1 have?
  ScV2MoO8